(1)
VASP calculation (PBE) on a geometry-optimized BaGeSe2 structure.

Cell lengths 7.7504, 7.7504, 7.7504 Å; angles 32.37, 32.37, 32.37 degrees
Positions (direct):
Ba  0.0000  0.0000  0.0000
Ge  0.8313  0.8313  0.8313
Se  0.2369  0.2369  0.2369
Se  0.4294  0.4294  0.4294

Properties
spin magnetization: 0.00 μB/f.u.
energy: -4.362 eV per atom
SG: R3m (160)
formation energy from raw total energies: -0.9848 eV per atom

(2)
VASP calculation (PBE) on a geometry-optimized VFe2P2 structure.

Cell lengths 6.5480, 6.5480, 2.5837 Å; angles 90.00, 90.00, 90.00 degrees
Positions (direct):
V  0.0000  0.0000  0.0000
V  0.5000  0.5000  0.0000
Fe  0.1426  0.3574  0.5000
Fe  0.3574  0.8574  0.5000
Fe  0.6426  0.1426  0.5000
Fe  0.8574  0.6426  0.5000
P  0.1552  0.6552  0.0000
P  0.3448  0.1552  0.0000
P  0.6552  0.8448  0.0000
P  0.8448  0.3448  0.0000

Properties
spin magnetization: 0.00 μB/f.u.
formation enthalpy at 0 K: -39.1 kJ/mol of atoms
energy: -7.778 eV per atom
density of states at the Fermi level: 8.45 states/eV per cell
SG: P4/mbm (127)

(3)
VASP calculation (PBE) on a geometry-optimized Ho4Ga3Ge structure.

Cell lengths 3.9972, 4.3333, 10.7766 Å; angles 90.00, 90.00, 90.00 degrees
Positions (direct):
Ho  0.0000  0.0000  0.0000
Ho  0.0000  0.5000  0.4990
Ho  0.5000  0.0000  0.2777
Ho  0.5000  0.5000  0.7789
Ga  0.0000  0.0000  0.7187
Ga  0.0000  0.5000  0.2173
Ga  0.5000  0.0000  0.5613
Ge  0.5000  0.5000  0.0589

Properties
spin magnetization: 0.00 μB/f.u.
formation enthalpy at 0 K: -68.3 kJ/mol of atoms
energy: -4.709 eV per atom
density of states at the Fermi level: 6.38 states/eV per cell
SG: Pmm2 (25)

Number 1 is which compound? BaGeSe2